Entry 1:
The following is a DFT calculation (PBE) of a relaxed structure of TaV2CoBr.

Calculated values
uncorrected formation energy: 1.269 eV per atom
SG: P4/mmm (123)
size of the total moment: 0.0 μB/cell

a = 4.3826 Å, b = 4.5127 Å, c = 4.3826 Å
α = 90.00°, β = 90.00°, γ = 90.00°
Last column: nearest neighbours and their distance in Å.
Positions (direct):
V 0.0000 0.0000 0.5000  2 Co 2.19
V 0.5000 0.0000 0.0000  2 Co 2.19
Co 0.0000 0.0000 0.0000  4 V 2.19, 2 Br 2.26
Br 0.0000 0.5000 0.0000  2 Co 2.26
Ta 0.5000 0.5000 0.5000  4 Br 3.10, 8 V 3.15

Entry 2:
The following is a DFT calculation (PBE) of a relaxed structure of La2ZrAl.

Calculated values
SG: Pmm2 (25)
size of the total moment: 0.0 μB/cell
E_form: -10 kJ per mole of atoms

a = 3.4476 Å, b = 4.0159 Å, c = 7.9320 Å
α = 90.00°, β = 90.00°, γ = 90.00°
Last column: nearest neighbours and their distance in Å.
Positions (direct):
La 0.5000 0.5000 0.2789  4 Zr 3.41, 1 Al 3.43, 6 La 3.45-3.67
La 0.0000 0.0000 0.9586  1 Zr 3.23, 4 Al 3.29, 2 La 3.45
Zr 0.0000 0.0000 0.5508  4 Al 2.94, 1 La 3.23
Al 0.5000 0.5000 0.7117  4 Zr 2.94

Entry 3:
The following is a DFT calculation (PBE) of a relaxed structure of PSeBr2.

Calculated values
uncorrected formation energy: 0.229 eV per atom
SG: Cmm2 (35)
size of the total moment: 0.0 μB/cell

a = 5.2216 Å, b = 5.2216 Å, c = 9.8628 Å
α = 90.00°, β = 90.00°, γ = 143.37°
Last column: nearest neighbours and their distance in Å.
Positions (direct):
Se 0.5000 0.5000 0.3082  2 P 2.29
Br 0.0000 0.0000 0.0460  2 Se 3.06, 2 Br 3.28
Br 0.5000 0.5000 0.6755  2 P 2.61
P 0.0000 0.0000 0.4702  2 Se 2.29

Entry 4:
The following is a DFT calculation (PBE) of a relaxed structure of Ce4PuSi.

Calculated values
uncorrected formation energy: -0.177 eV per atom
SG: P2_1/c (14)
size of the total moment: 4.4 μB/cell

a = 8.3301 Å, b = 9.7601 Å, c = 7.5762 Å
α = 90.00°, β = 90.00°, γ = 78.80°
Last column: nearest neighbours and their distance in Å.
Positions (direct):
Ce 0.1410 0.9097 0.1169  2 Pu 2.53-2.57
Ce 0.7971 0.9924 0.4304  1 Pu 2.51
Ce 0.4999 0.2198 0.7038  1 Pu 2.48
Ce 0.9999 0.7198 0.7962  1 Pu 2.48
Ce 0.7029 0.5076 0.9304  1 Pu 2.51
Ce 0.3590 0.5903 0.6169  2 Pu 2.53-2.57
Ce 0.6410 0.4097 0.3831  2 Pu 2.53-2.57
Ce 0.5001 0.7802 0.2962  1 Pu 2.48
Ce 0.5120 0.1404 0.1829  1 Pu 2.50
Ce 0.4880 0.8596 0.8171  1 Pu 2.50
Ce 0.8590 0.0903 0.8831  2 Pu 2.53-2.57
Ce 0.0001 0.2802 0.2038  1 Pu 2.48
Ce 0.2029 0.0076 0.5696  1 Pu 2.51
Ce 0.0120 0.6404 0.3171  1 Pu 2.50
Ce 0.2971 0.4924 0.0696  1 Pu 2.51
Ce 0.9880 0.3596 0.6829  1 Pu 2.50
Si 0.2701 0.3422 0.4206  6 Ce 2.94-3.10
Si 0.7701 0.8422 0.0794  6 Ce 2.94-3.10
Si 0.7299 0.6578 0.5794  6 Ce 2.94-3.10
Si 0.2299 0.1578 0.9206  6 Ce 2.94-3.10
Pu 0.2185 0.7825 0.4045  5 Ce 2.48-2.57
Pu 0.2815 0.7175 0.9045  5 Ce 2.48-2.57
Pu 0.7185 0.2825 0.0955  5 Ce 2.48-2.57
Pu 0.7815 0.2175 0.5955  5 Ce 2.48-2.57

Entry 5:
The following is a DFT calculation (PBE) of a relaxed structure of Pr2AlGa3.

Calculated values
SG: Fmmm (69)
size of the total moment: 0.0 μB/cell
E_form: -62 kJ per mole of atoms

a = 6.1242 Å, b = 6.1242 Å, c = 8.6529 Å
α = 110.66°, β = 110.66°, γ = 90.17°
Last column: nearest neighbours and their distance in Å.
Positions (direct):
Al 0.6662 0.6662 0.3325  3 Ga 2.50
Al 0.3338 0.3338 0.6675  3 Ga 2.50
Pr 0.2500 0.7500 0.5000  8 Ga 3.31, 4 Al 3.31
Pr 0.2473 0.7527 0.0000  10 Ga 3.29-3.32, 2 Al 3.32
Pr 0.7527 0.2473 0.0000  10 Ga 3.29-3.32, 2 Al 3.32
Pr 0.7500 0.2500 0.5000  8 Ga 3.31, 4 Al 3.31
Ga 0.8333 0.8333 0.6666  2 Ga 2.50, 1 Al 2.50
Ga 0.1669 0.1669 0.8339  2 Ga 2.49-2.50, 1 Al 2.50
Ga 0.6670 0.6670 0.8339  2 Ga 2.49-2.50, 1 Al 2.50
Ga 0.8331 0.8331 0.1661  2 Ga 2.49-2.50, 1 Al 2.50
Ga 0.1667 0.1667 0.3334  2 Ga 2.50, 1 Al 2.50
Ga 0.3330 0.3330 0.1661  2 Ga 2.49-2.50, 1 Al 2.50

Entry 6:
The following is a DFT calculation (PBE) of a relaxed structure of Sr2Sm4Sb3O2.

Calculated values
uncorrected formation energy: -1.710 eV per atom
SG: I4/mmm (139)
size of the total moment: 0.0 μB/cell

a = 4.8136 Å, b = 4.8136 Å, c = 13.4247 Å
α = 100.33°, β = 100.33°, γ = 90.00°
Last column: nearest neighbours and their distance in Å.
Positions (direct):
Sb 0.0000 0.0000 0.0000  8 Sm 3.19
Sb 0.8288 0.8288 0.6576  4 Sm 3.37, 5 Sr 3.46-3.47
Sb 0.1712 0.1712 0.3424  4 Sm 3.37, 5 Sr 3.46-3.47
O 0.4050 0.4050 0.8099  4 Sm 2.44, 1 Sr 2.60
O 0.5950 0.5950 0.1901  4 Sm 2.44, 1 Sr 2.60
Sr 0.6950 0.6950 0.3901  1 O 2.60
Sr 0.3050 0.3050 0.6099  1 O 2.60
Sm 0.0804 0.5804 0.1608  2 O 2.44
Sm 0.9196 0.4196 0.8392  2 O 2.44
Sm 0.5804 0.0804 0.1608  2 O 2.44
Sm 0.4196 0.9196 0.8392  2 O 2.44

Entry 7:
The following is a DFT calculation (PBE) of a relaxed structure of K3CS.

Calculated values
uncorrected formation energy: 0.463 eV per atom
SG: Pm-3m (221)
size of the total moment: 3.0 μB/cell

a = 5.9976 Å, b = 5.9976 Å, c = 5.9976 Å
α = 90.00°, β = 90.00°, γ = 90.00°
Last column: nearest neighbours and their distance in Å.
Positions (direct):
K 0.0000 0.0000 0.5000  2 S 3.00
K 0.0000 0.5000 0.0000  2 S 3.00
K 0.5000 0.0000 0.0000  2 S 3.00
S 0.0000 0.0000 0.0000  6 K 3.00
C 0.5000 0.5000 0.5000  12 K 4.24

Entry 8:
The following is a DFT calculation (PBE) of a relaxed structure of Ba5Na2Sr4.

Calculated values
SG: Immm (71)
size of the total moment: 0.0 μB/cell
E_form: 12 kJ per mole of atoms

a = 4.1468 Å, b = 11.1582 Å, c = 14.9697 Å
α = 111.88°, β = 97.96°, γ = 90.00°
Last column: nearest neighbours and their distance in Å.
Positions (direct):
Sr 0.7294 0.7294 0.4588  1 Na 3.68
Sr 0.0000 0.3233 0.0000  4 Na 3.88, 3 Sr 3.94-4.15, 4 Ba 4.15-4.16
Sr 0.2706 0.2706 0.5412  1 Na 3.68
Sr 0.0000 0.6767 0.0000  4 Na 3.88, 3 Sr 3.94-4.15, 4 Ba 4.15-4.16
Na 0.4046 0.4046 0.8092  5 Sr 3.68-3.88
Na 0.5954 0.5954 0.1908  5 Sr 3.68-3.88
Ba 0.5000 0.0000 0.0000  2 Ba 4.15, 4 Sr 4.16
Ba 0.1421 0.3405 0.2842  4 Sr 4.15-4.62, 3 Ba 4.15-4.43, 2 Na 4.16
Ba 0.8579 0.0562 0.7158  4 Sr 4.15-4.62, 3 Ba 4.15-4.43, 2 Na 4.16
Ba 0.1421 0.9438 0.2842  4 Sr 4.15-4.62, 3 Ba 4.15-4.43, 2 Na 4.16
Ba 0.8579 0.6595 0.7158  4 Sr 4.15-4.62, 3 Ba 4.15-4.43, 2 Na 4.16

Look up the size of the total moment of the sixth one.
0.0 μB/cell

What did the second record say?
The following is a DFT calculation (PBE) of a relaxed structure of La2ZrAl.

Calculated values
SG: Pmm2 (25)
size of the total moment: 0.0 μB/cell
E_form: -10 kJ per mole of atoms

a = 3.4476 Å, b = 4.0159 Å, c = 7.9320 Å
α = 90.00°, β = 90.00°, γ = 90.00°
Last column: nearest neighbours and their distance in Å.
Positions (direct):
La 0.5000 0.5000 0.2789  4 Zr 3.41, 1 Al 3.43, 6 La 3.45-3.67
La 0.0000 0.0000 0.9586  1 Zr 3.23, 4 Al 3.29, 2 La 3.45
Zr 0.0000 0.0000 0.5508  4 Al 2.94, 1 La 3.23
Al 0.5000 0.5000 0.7117  4 Zr 2.94